LaCdIO2 | the Alexandria database | SCAN | single point on PBEsol structure; final energy = -25.95 eV/atom
1.0
4.3842 0.0000 0.0000
0.0000 4.3842 0.0000
0.0000 0.0000 6.7289
La Cd I O
1 1 1 2
direct
0.0000 0.0000 0.0000
0.5000 0.5000 0.5000
0.0000 0.0000 0.5000
0.0000 0.5000 0.0000
0.5000 0.0000 0.0000

***

InFeSb2H | the Alexandria database | SCAN | single point on PBEsol structure; final energy = -24.46 eV/atom
1.0
5.5345 0.0000 0.0000
0.0000 5.5345 0.0000
0.0000 0.0000 4.9280
In Fe Sb H
1 1 2 1
direct
0.0000 0.0000 0.0000
0.0000 0.0000 0.5000
0.0000 0.5000 0.0000
0.5000 0.0000 0.0000
0.5000 0.5000 0.5000

***

CaZr2Pb | the Alexandria database | SCAN | single point on PBEsol structure; final energy = -36.65 eV/atom
1.0
3.4529 0.0000 0.0000
0.0000 4.3893 0.0000
0.0000 0.0000 6.4309
Ca Zr Pb
1 2 1
direct
0.0000 0.0000 0.0000
0.5000 0.5000 0.2611
0.5000 0.5000 0.7389
0.0000 0.0000 0.5000

***

SnAs2PSe | the Alexandria database | SCAN | single point on PBEsol structure; polymorph energy (0 for the lowest one) = 0.754 eV per atom; final energy = -20.06 eV/atom
1.0
5.1472 0.0000 0.0000
0.0000 5.1472 0.0000
0.0000 0.0000 5.0475
Sn As P Se
1 2 1 1
direct
0.0000 0.0000 0.0000
0.0000 0.5000 0.0000
0.5000 0.0000 0.0000
0.5000 0.5000 0.5000
0.0000 0.0000 0.5000

***

K2SiW | the Alexandria database | SCAN | single point on PBEsol structure; final energy = -23.24 eV/atom
1.0
1.8230 -2.3088 0.0000
1.8230 2.3088 0.0000
0.0000 0.0000 11.4230
K Si W
2 1 1
direct
0.0000 0.0000 0.0000
0.5000 0.5000 0.3716
0.0000 0.0000 0.5971
0.5000 0.5000 0.7504

***

NbSeBr | the Alexandria database | SCAN | single point on PBEsol structure; final energy = -25.22 eV/atom
1.0
0.0000 5.1595 5.1595
5.1595 0.0000 5.1595
5.1595 5.1595 0.0000
Nb Se Br
4 4 4
direct
0.1028 0.1028 0.1028
0.1028 0.1028 0.6917
0.1028 0.6917 0.1028
0.6917 0.1028 0.1028
0.4109 0.8630 0.8630
0.8630 0.4109 0.8630
0.8630 0.8630 0.4109
0.8630 0.8630 0.8630
0.3708 0.3708 0.3708
0.3708 0.3708 0.8876
0.3708 0.8876 0.3708
0.8876 0.3708 0.3708

***

Ir2RuI2 | the Alexandria database | SCAN | single point on PBEsol structure; final energy = -48.75 eV/atom
1.0
-2.6558 2.6558 3.6822
2.6558 -2.6558 3.6822
2.6558 2.6558 -3.6822
Ir Ru I
2 1 2
direct
0.1656 0.1656 0.0000
0.8344 0.8344 0.0000
0.5000 0.5000 0.0000
0.2500 0.7500 0.5000
0.7500 0.2500 0.5000

***

Sc5Co3 | the Alexandria database | SCAN | single point on PBEsol structure; polymorph energy (0 for the lowest one) = 0.000 eV per atom; final energy = -15.53 eV/atom
1.0
7.4815 0.0000 0.0000
-3.7407 6.4792 0.0000
0.0000 0.0000 5.5996
Sc Co
10 6
direct
0.0000 0.2546 0.2500
0.0000 0.7454 0.7500
0.2546 0.0000 0.2500
0.2546 0.2546 0.7500
0.3333 0.6667 0.0000
0.3333 0.6667 0.5000
0.6667 0.3333 0.0000
0.6667 0.3333 0.5000
0.7454 0.0000 0.7500
0.7454 0.7454 0.2500
0.0000 0.3979 0.7500
0.0000 0.6021 0.2500
0.3979 0.0000 0.7500
0.3979 0.3979 0.2500
0.6021 0.0000 0.2500
0.6021 0.6021 0.7500

***

CaTaCdSe2 | the Alexandria database | SCAN | single point on PBEsol structure; final energy = -28.47 eV/atom
1.0
5.1971 0.0000 0.0000
0.0000 5.1971 0.0000
0.0000 0.0000 5.1953
Ca Ta Cd Se
1 1 1 2
direct
0.0000 0.0000 0.0000
0.5000 0.5000 0.5000
0.0000 0.0000 0.5000
0.0000 0.5000 0.0000
0.5000 0.0000 0.0000

***

RbZnHg2Ir | the Alexandria database | SCAN | single point on PBEsol structure; final energy = -47.83 eV/atom
1.0
5.2148 0.0000 0.0000
0.0000 5.2148 0.0000
0.0000 0.0000 5.8907
Rb Zn Hg Ir
1 1 2 1
direct
0.0000 0.0000 0.0000
0.5000 0.5000 0.0000
0.0000 0.5000 0.5000
0.5000 0.0000 0.5000
0.0000 0.0000 0.5000

***

LiSn2P4H3O16 | the Alexandria database | SCAN | single point on PBEsol structure; final energy = -10.76 eV/atom
1.0
4.8969 0.0000 0.0000
1.8917 7.1847 0.0000
0.2528 -0.0655 8.1018
Li Sn P H O
1 2 4 3 16
direct
0.0000 0.0000 0.0000
0.1055 0.8242 0.3545
0.5881 0.3436 0.8510
0.2396 0.0670 0.6948
0.4718 0.1041 0.2050
0.7275 0.5660 0.5068
0.9559 0.5982 0.0141
0.1040 0.3246 0.3686
0.4209 0.7525 0.7396
0.6587 0.8363 0.8838
0.0554 0.6351 0.1829
0.1677 0.0096 0.5270
0.1874 0.4833 0.8998
0.2744 0.9690 0.1742
0.3099 0.2839 0.2854
0.3727 0.8825 0.7976
0.4545 0.1841 0.6819
0.4911 0.6529 0.3893
0.5851 0.5555 0.6842
0.5883 0.1443 0.0303
0.7124 0.5024 0.0248
0.7253 0.9996 0.3025
0.8540 0.7956 0.9321
0.8903 0.3720 0.4570
0.9164 0.7030 0.5321
0.9858 0.1636 0.8091

***

TlRhPb | the Alexandria database | SCAN | single point on PBEsol structure; final energy = -60.62 eV/atom
1.0
0.0000 3.2479 3.2479
3.2479 0.0000 3.2479
3.2479 3.2479 0.0000
Tl Rh Pb
1 1 1
direct
0.0000 0.0000 0.0000
0.2500 0.2500 0.2500
0.5000 0.5000 0.5000

***

Ga3HgOs | the Alexandria database | SCAN | single point on PBEsol structure; final energy = -37.86 eV/atom
1.0
4.7969 0.0000 0.0000
0.0000 4.7969 0.0000
0.0000 0.0000 4.7969
Ga Hg Os
3 1 1
direct
0.0000 0.0000 0.5000
0.0000 0.5000 0.0000
0.5000 0.0000 0.0000
0.5000 0.5000 0.5000
0.0000 0.0000 0.0000

***

Re3SiMo | the Alexandria database | SCAN | single point on PBEsol structure; final energy = -50.43 eV/atom
1.0
4.3186 0.0000 0.0000
0.0000 4.3186 0.0000
0.0000 0.0000 4.3186
Re Si Mo
3 1 1
direct
0.0000 0.0000 0.5000
0.0000 0.5000 0.0000
0.5000 0.0000 0.0000
0.0000 0.0000 0.0000
0.5000 0.5000 0.5000

***

CaTi2O4 | the Alexandria database | SCAN | single point on PBEsol structure; polymorph energy (0 for the lowest one) = 0.036 eV per atom; final energy = -12.73 eV/atom
1.0
5.8184 0.0000 0.0000
0.0000 11.2835 0.0000
0.0000 0.0000 5.0366
Ca Ti O
4 8 16
direct
0.2500 0.2500 0.0396
0.2500 0.7500 0.3389
0.7500 0.2500 0.6611
0.7500 0.7500 0.9604
0.0000 0.0000 0.5000
0.0000 0.5000 0.5000
0.2500 0.5097 0.9780
0.2500 0.9903 0.9780
0.5000 0.0000 0.5000
0.5000 0.5000 0.5000
0.7500 0.0097 0.0220
0.7500 0.4903 0.0220
0.0040 0.1066 0.8378
0.0040 0.3934 0.8378
0.2500 0.0913 0.3264
0.2500 0.4087 0.3264
0.2500 0.6071 0.6547
0.2500 0.8929 0.6547
0.4960 0.1066 0.8378
0.4960 0.3934 0.8378
0.5040 0.6066 0.1622
0.5040 0.8934 0.1622
0.7500 0.1071 0.3453
0.7500 0.3929 0.3453
0.7500 0.5913 0.6736
0.7500 0.9087 0.6736
0.9960 0.6066 0.1622
0.9960 0.8934 0.1622

***

Ca2TaCl | the Alexandria database | SCAN | single point on PBEsol structure; polymorph energy (0 for the lowest one) = 0.623 eV per atom; final energy = -23.22 eV/atom
1.0
-1.6125 3.0973 5.0424
1.6125 -3.0973 5.0424
1.6125 3.0973 -5.0424
Ca Ta Cl
2 1 1
direct
0.2126 0.2126 0.0000
0.7874 0.7874 0.0000
0.5000 0.0000 0.5000
0.0000 0.5000 0.5000

***

BaBr3O | the Alexandria database | SCAN | single point on PBEsol structure; polymorph energy (0 for the lowest one) = 0.000 eV per atom; final energy = -21.78 eV/atom
1.0
4.9148 0.0000 0.0000
0.0000 4.9148 0.0000
0.0000 0.0000 4.9148
Ba Br O
1 3 1
direct
0.0000 0.0000 0.0000
0.0000 0.5000 0.5000
0.5000 0.0000 0.5000
0.5000 0.5000 0.0000
0.5000 0.5000 0.5000

***

LiTl2Os | the Alexandria database | SCAN | single point on PBEsol structure; polymorph energy (0 for the lowest one) = 0.205 eV per atom; final energy = -54.10 eV/atom
1.0
3.0861 0.0000 0.0000
0.0000 4.5616 0.0000
0.0000 0.0000 5.4426
Li Tl Os
1 2 1
direct
0.0000 0.0000 0.0000
0.0000 0.5000 0.5000
0.5000 0.5000 0.0000
0.5000 0.0000 0.5000

***

BaTeN3 | the Alexandria database | SCAN | single point on PBEsol structure; final energy = -20.42 eV/atom
1.0
4.1473 0.0000 0.0000
0.0000 4.1473 0.0000
0.0000 0.0000 4.1473
Ba Te N
1 1 3
direct
0.0000 0.0000 0.0000
0.5000 0.5000 0.5000
0.0000 0.5000 0.5000
0.5000 0.0000 0.5000
0.5000 0.5000 0.0000

***

CoSi4O10 | the Alexandria database | SCAN | single point on PBEsol structure; final energy = -10.47 eV/atom
1.0
7.2333 0.0000 0.0000
0.0000 7.2333 0.0000
0.0000 0.0000 15.6753
Co Si O
4 16 40
direct
0.2500 0.2500 0.0892
0.2500 0.2500 0.5892
0.7500 0.7500 0.4108
0.7500 0.7500 0.9108
0.0032 0.0732 0.3502
0.0032 0.4268 0.8502
0.0732 0.0032 0.8502
0.0732 0.4968 0.3502
0.4268 0.0032 0.3502
0.4268 0.4968 0.8502
0.4968 0.0732 0.8502
0.4968 0.4268 0.3502
0.5032 0.5732 0.6498
0.5032 0.9268 0.1498
0.5732 0.5032 0.1498
0.5732 0.9968 0.6498
0.9268 0.5032 0.6498
0.9268 0.9968 0.1498
0.9968 0.5732 0.1498
0.9968 0.9268 0.6498
0.0053 0.7078 0.6281
0.0053 0.7922 0.1281
0.0263 0.1569 0.0928
0.0263 0.3431 0.5928
0.0409 0.5409 0.2500
0.0409 0.9591 0.7500
0.1569 0.0263 0.5928
0.1569 0.4737 0.0928
0.2078 0.5053 0.8719
0.2078 0.9947 0.3719
0.2922 0.5053 0.3719
0.2922 0.9947 0.8719
0.3431 0.0263 0.0928
0.3431 0.4737 0.5928
0.4591 0.5409 0.7500
0.4591 0.9591 0.2500
0.4737 0.1569 0.5928
0.4737 0.3431 0.0928
0.4947 0.7078 0.1281
0.4947 0.7922 0.6281
0.5053 0.2078 0.3719
0.5053 0.2922 0.8719
0.5263 0.6569 0.9072
0.5263 0.8431 0.4072
0.5409 0.0409 0.7500
0.5409 0.4591 0.2500
0.6569 0.5263 0.4072
0.6569 0.9737 0.9072
0.7078 0.0053 0.1281
0.7078 0.4947 0.6281
0.7922 0.0053 0.6281
0.7922 0.4947 0.1281
0.8431 0.5263 0.9072
0.8431 0.9737 0.4072
0.9591 0.0409 0.2500
0.9591 0.4591 0.7500
0.9737 0.6569 0.4072
0.9737 0.8431 0.9072
0.9947 0.2078 0.8719
0.9947 0.2922 0.3719

***

Number 1: mass density 5267 kg/m³. Number 2: mass density 4568 kg/m³. Number 3: mass density 7321 kg/m³. Number 4: mass density 4700 kg/m³. Number 5: mass density 5010 kg/m³. Number 6: mass density 6088 kg/m³. Number 7: mass density 11817 kg/m³. Number 8: mass density 4913 kg/m³. Number 9: mass density 5815 kg/m³. Number 10: mass density 7715 kg/m³. Number 11: mass density 3654 kg/m³. Number 12: mass density 12468 kg/m³. Number 13: mass density 9026 kg/m³. Number 14: mass density 14074 kg/m³. Number 15: mass density 4014 kg/m³. Number 16: mass density 4888 kg/m³. Number 17: mass density 5498 kg/m³. Number 18: mass density 13132 kg/m³. Number 19: mass density 7145 kg/m³. Number 20: mass density 2683 kg/m³.